The following is a PBE calculation of a relaxed RbCuH2Se crystal, from Alexandria.

Lattice parameters (Å, degrees): 4.4601 4.7137 4.4601 90.00 90.00 90.00
Closest atoms and distances in Å follow each position.
Sites, in units of the cell vectors:
1 H 0.0000 0.0000 0.5000  2 Se 2.23
2 H 0.5000 0.0000 0.0000  2 Se 2.23
3 Cu 0.0000 0.5000 0.0000  2 Se 2.36
4 Se 0.0000 0.0000 0.0000  4 H 2.23, 2 Cu 2.36
5 Rb 0.5000 0.5000 0.5000  4 Cu 3.15, 8 H 3.24

Final energy (eV/atom): -2.686
Symmetry: P4/mmm

***

The following is a PBE calculation of a relaxed RbCuHSe2 crystal, from Alexandria.

Lattice parameters (Å, degrees): 5.8315 6.2331 6.9686 116.57 90.00 90.00
Closest atoms and distances in Å follow each position.
Sites, in units of the cell vectors:
1 Rb 0.2531 0.7500 0.5000  2 H 3.45, 8 Se 3.52-3.71, 4 Cu 3.77
2 Rb 0.7469 0.2500 0.5000  2 H 3.45, 8 Se 3.52-3.71, 4 Cu 3.77
3 Cu 0.5000 0.7500 0.0000  4 Se 2.43
4 Cu 0.5000 0.2500 0.0000  4 Se 2.43
5 H 0.0000 0.0000 0.0000  2 Se 1.80
6 H 0.0000 0.5000 0.0000  2 Se 1.80
7 Se 0.7577 0.9110 0.8221  1 H 1.80
8 Se 0.7577 0.5890 0.1779  1 H 1.80
9 Se 0.2423 0.4110 0.8221  1 H 1.80
10 Se 0.2423 0.0890 0.1779  1 H 1.80

Final energy (eV/atom): -3.480
Symmetry: Cmme

***

The following is a PBE calculation of a relaxed Rb2Cu2HSe2 crystal, from Alexandria.

Lattice parameters (Å, degrees): 4.2525 6.2092 7.0538 74.64 72.46 69.97
Closest atoms and distances in Å follow each position.
Sites, in units of the cell vectors:
1 Rb 0.5555 0.2139 0.6751  2 H 3.14, 3 Se 3.31-3.43, 2 Cu 3.45
2 Rb 0.4445 0.7861 0.3249  2 H 3.14, 3 Se 3.31-3.43, 2 Cu 3.45
3 Cu 0.1695 0.7266 0.9343  1 H 1.73
4 Cu 0.8305 0.2734 0.0657  1 H 1.73
5 H 0.0000 0.0000 0.0000  2 Cu 1.73
6 Se 0.2102 0.3629 0.2166  3 Cu 2.45-2.58
7 Se 0.7898 0.6371 0.7834  3 Cu 2.45-2.58

Final energy (eV/atom): -3.401
Symmetry: C2/m

***

The following is a PBE calculation of a relaxed Rb2CuSiH crystal, from Alexandria.

Lattice parameters (Å, degrees): 6.3361 3.4090 6.3361 90.00 90.00 90.00
Closest atoms and distances in Å follow each position.
Sites, in units of the cell vectors:
1 H 0.0000 0.0000 0.0000  2 Cu 1.70
2 Si 0.5000 0.5000 0.5000  2 Si 3.41, 8 Rb 3.60
3 Cu 0.0000 0.5000 0.0000  2 H 1.70
4 Rb 0.0000 0.0000 0.5000  2 H 3.17, 2 Rb 3.41
5 Rb 0.5000 0.0000 0.0000  2 H 3.17, 2 Rb 3.41

Final energy (eV/atom): -2.510
Symmetry: P4/mmm

***

The following is a PBE calculation of a relaxed Rb2CuSnH6 crystal, from Alexandria.

Lattice parameters (Å, degrees): 5.7496 5.7495 5.7862 60.20 60.20 89.96
Closest atoms and distances in Å follow each position.
Sites, in units of the cell vectors:
1 Rb 0.7498 0.2502 0.5000  12 H 2.88-2.90
2 Rb 0.2502 0.7498 0.5000  12 H 2.88-2.90
3 Cu 0.5000 0.5000 0.0000  6 H 1.83-1.88
4 Sn 0.0000 0.0000 0.0000  6 H 2.23
5 H 0.2709 0.2709 0.4573  1 Cu 1.88
6 H 0.7260 0.7260 0.9989  1 Cu 1.83
7 H 0.2746 0.7253 0.0000  1 Cu 1.83
8 H 0.7254 0.2747 0.0000  1 Cu 1.83
9 H 0.2740 0.2740 0.0011  1 Cu 1.83
10 H 0.7291 0.7291 0.5427  1 Cu 1.88

Final energy (eV/atom): -2.969
Symmetry: I4/mmm

***

The following is a PBE calculation of a relaxed Rb2SrCu2H6 crystal, from Alexandria.

Lattice parameters (Å, degrees): 5.8926 5.9094 7.4234 113.08 90.00 119.91
Closest atoms and distances in Å follow each position.
Sites, in units of the cell vectors:
1 Rb 0.7090 0.4181 0.1303  9 H 3.05-3.14
2 Rb 0.2910 0.5819 0.8697  9 H 3.05-3.14
3 Sr 0.5000 0.0000 0.5000  6 H 2.44
4 Cu 0.9176 0.8352 0.7453  3 H 1.62
5 Cu 0.0824 0.1648 0.2547  3 H 1.62
6 H 0.7591 0.5182 0.7429  1 Cu 1.62
7 H 0.2382 0.0020 0.2469  1 Cu 1.62
8 H 0.2362 0.9980 0.7531  1 Cu 1.62
9 H 0.7618 0.9980 0.7531  1 Cu 1.62
10 H 0.7638 0.0020 0.2469  1 Cu 1.62
11 H 0.2409 0.4818 0.2571  1 Cu 1.62

Final energy (eV/atom): -3.083
Symmetry: C2/m

***

The following is a PBE calculation of a relaxed Rb2CuTcH crystal, from Alexandria.

Lattice parameters (Å, degrees): 6.6668 4.7354 6.6668 90.00 90.00 90.00
Closest atoms and distances in Å follow each position.
Sites, in units of the cell vectors:
1 H 0.5000 0.5000 0.5000  8 Rb 4.09
2 Cu 0.0000 0.5000 0.0000  2 Tc 2.37
3 Tc 0.0000 0.0000 0.0000  2 Cu 2.37
4 Rb 0.0000 0.0000 0.5000  2 Tc 3.33
5 Rb 0.5000 0.0000 0.0000  2 Tc 3.33

Final energy (eV/atom): -2.716
Symmetry: P4/mmm

***

The following is a PBE calculation of a relaxed RbCuTe2H crystal, from Alexandria.

Lattice parameters (Å, degrees): 6.6178 3.5896 6.6178 90.00 90.00 90.00
Closest atoms and distances in Å follow each position.
Sites, in units of the cell vectors:
1 H 0.0000 0.5000 0.0000  2 Rb 1.79
2 Te 0.0000 0.0000 0.5000  2 Rb 3.31, 2 Te 3.59
3 Te 0.5000 0.0000 0.0000  2 Rb 3.31, 2 Te 3.59
4 Cu 0.5000 0.5000 0.5000  2 Cu 3.59, 8 Te 3.76
5 Rb 0.0000 0.0000 0.0000  2 H 1.79

Final energy (eV/atom): -1.882
Symmetry: P4/mmm